[1]
A plane-wave DFT calculation with PBE was carried out for a geometry-optimized KInNi3 structure.

Its energy of formation from the pure elements is 1.72 eV per atom. The density of states at the Fermi level is 0.242 states/eV per atom. The calculation puts the volume at 19.2 A^3/atom. As for the total moment: 0.00 μB per cell.

The structure belongs to space group Pm-3m (No. 221); the cell edges are 4.580, 4.580 and 4.580 Å and the angles 90.00°, 90.00° and 90.00°. The distinct sites, in fractional coordinates, are K at (0.000, 0.000, 0.000), In at (0.500, 0.500, 0.500) and Ni at (0.000, 0.000, 0.500).

---

[2]
A plane-wave DFT calculation with PBE was carried out for a geometry-optimized DyEr3Ir3 structure.

Its energy of formation from the pure elements is -0.75 eV per atom. The density of states at the Fermi level is 0.380 states/eV per atom. The calculation puts the volume at 22.6 A^3/atom. As for the total moment: 0.00 μB per cell.

The structure belongs to space group C2/m (No. 12); the cell edges are 9.777, 9.873 and 6.550 Å and the angles 90.00°, 90.03° and 90.00°. The distinct sites, in fractional coordinates, are Dy at (0.250, 0.000, 0.000), Er at (0.000, 0.241, 0.000), Er at (0.000, 0.244, 0.500), Er at (0.245, 0.000, 0.500), Ir at (0.000, 0.000, 0.250) and Ir at (0.250, 0.250, 0.251).

---

Please write out number 1 again, unchanged.
A plane-wave DFT calculation with PBE was carried out for a geometry-optimized KInNi3 structure.

Its energy of formation from the pure elements is 1.72 eV per atom. The density of states at the Fermi level is 0.242 states/eV per atom. The calculation puts the volume at 19.2 A^3/atom. As for the total moment: 0.00 μB per cell.

The structure belongs to space group Pm-3m (No. 221); the cell edges are 4.580, 4.580 and 4.580 Å and the angles 90.00°, 90.00° and 90.00°. The distinct sites, in fractional coordinates, are K at (0.000, 0.000, 0.000), In at (0.500, 0.500, 0.500) and Ni at (0.000, 0.000, 0.500).